The following is a DFT calculation (GGA-PBE) of crystalline SrSm2UAs4 at its relaxed geometry.

Values from the calculation:
- calculated formation energy (meV/atom) = -1187
- spin magnetization (μB/f.u.) = 1.9
- total DFT energy (no corrections) (Ry per atom) = -0.4640
- symmetry = F222 (22)
- V (Å³/atom) = 26.79

POSCAR file:
```
SrSm2UAs4
1.0
0.0000 4.2372 5.9899
4.2223 0.0000 5.9899
4.2223 4.2372 0.0000
Sr Sm U As
1 2 1 4
Direct
0.0000 0.0000 0.0000
0.5000 0.5000 0.5000
0.7500 0.7500 0.7500
0.2500 0.2500 0.2500
0.0126 0.0126 0.4874
0.2563 0.2563 0.7437
0.4874 0.4874 0.0126
0.7437 0.7437 0.2563
```

---

The following is a DFT calculation (GGA-PBE) of crystalline LiAcAlIn at its relaxed geometry.

Values from the calculation:
- calculated formation energy (meV/atom) = -191
- spin magnetization (μB/f.u.) = 0.0
- total DFT energy (no corrections) (Ry per atom) = -0.2438
- symmetry = F-43m (216)
- V (Å³/atom) = 24.86

POSCAR file:
```
LiAcAlIn
1.0
7.3541 0.0000 0.0000
0.0000 7.3541 0.0000
0.0000 0.0000 7.3541
Li Ac Al In
4 4 4 4
Direct
0.0000 0.0000 0.0000
0.0000 0.5000 0.5000
0.5000 0.0000 0.5000
0.5000 0.5000 0.0000
0.2500 0.2500 0.7500
0.2500 0.7500 0.2500
0.7500 0.2500 0.2500
0.7500 0.7500 0.7500
0.0000 0.0000 0.5000
0.0000 0.5000 0.0000
0.5000 0.0000 0.0000
0.5000 0.5000 0.5000
0.2500 0.2500 0.2500
0.2500 0.7500 0.7500
0.7500 0.2500 0.7500
0.7500 0.7500 0.2500
```